(1)
{"formula": "Li2NbOsW", "functional": "GGA-PBE", "state": "relaxed", "cell": [[4.282, 0.000, 0.000], [0.000, 4.282, 0.000], [0.000, 0.000, 4.822]], "species": ["Li", "Li", "Nb", "Os", "W"], "fractional_positions": [[0.000, 0.500, 0.000], [0.500, 0.000, 0.000], [0.000, 0.000, 0.500], [0.000, 0.000, 0.000], [0.500, 0.500, 0.500]], "ef_ev_per_fu": 7.70, "total_energy_ev_per_atom": -6.076, "magnetic_moment_mub_per_atom": 0.00, "mass_density_g_cm3": 9.03}

---

(2)
{"formula": "LiYNbOs", "functional": "GGA-PBE", "state": "relaxed", "cell": [[6.621, 0.000, 0.000], [0.000, 6.621, 0.000], [0.000, 0.000, 6.621]], "species": ["Li", "Li", "Li", "Li", "Y", "Y", "Y", "Y", "Nb", "Nb", "Nb", "Nb", "Os", "Os", "Os", "Os"], "fractional_positions": [[0.000, 0.000, 0.000], [0.000, 0.500, 0.500], [0.500, 0.000, 0.500], [0.500, 0.500, 0.000], [0.250, 0.250, 0.750], [0.250, 0.750, 0.250], [0.750, 0.250, 0.250], [0.750, 0.750, 0.750], [0.250, 0.250, 0.250], [0.250, 0.750, 0.750], [0.750, 0.250, 0.750], [0.750, 0.750, 0.250], [0.000, 0.000, 0.500], [0.000, 0.500, 0.000], [0.500, 0.000, 0.000], [0.500, 0.500, 0.500]], "ef_ev_per_fu": -0.12, "total_energy_ev_per_atom": -7.449, "magnetic_moment_mub_per_atom": 0.00, "mass_density_g_cm3": 8.67}

---

(3)
{"formula": "Li2NbP", "functional": "GGA-PBE", "state": "relaxed", "cell": [[3.552, 0.000, 0.000], [0.000, 3.552, 0.000], [0.000, 0.000, 20.017]], "species": ["Li", "Li", "Li", "Li", "Li", "Li", "Li", "Li", "Nb", "Nb", "Nb", "Nb", "P", "P", "P", "P"], "fractional_positions": [[0.231, 0.250, 0.125], [0.250, 0.731, 0.375], [0.250, 0.769, 0.875], [0.269, 0.250, 0.625], [0.731, 0.750, 0.625], [0.750, 0.231, 0.875], [0.750, 0.269, 0.375], [0.769, 0.750, 0.125], [0.000, 0.000, 0.500], [0.000, 0.500, 0.750], [0.500, 0.000, 0.250], [0.500, 0.500, 0.000], [0.000, 0.000, 0.000], [0.000, 0.500, 0.250], [0.500, 0.000, 0.750], [0.500, 0.500, 0.500]], "ef_ev_per_fu": -0.66, "total_energy_ev_per_atom": -4.991, "magnetic_moment_mub_per_atom": 0.00, "mass_density_g_cm3": 3.62}

---

(4)
{"formula": "LiNb2P2", "functional": "GGA-PBE", "state": "relaxed", "cell": [[6.774, 0.000, 0.000], [0.000, 6.774, 0.000], [0.000, 0.000, 3.301]], "species": ["Li", "Li", "Nb", "Nb", "Nb", "Nb", "P", "P", "P", "P"], "fractional_positions": [[0.000, 0.000, 0.000], [0.500, 0.500, 0.000], [0.152, 0.348, 0.500], [0.348, 0.848, 0.500], [0.652, 0.152, 0.500], [0.848, 0.652, 0.500], [0.143, 0.643, 0.000], [0.357, 0.143, 0.000], [0.643, 0.857, 0.000], [0.857, 0.357, 0.000]], "ef_ev_per_fu": -3.69, "total_energy_ev_per_atom": -7.312, "magnetic_moment_mub_per_atom": 0.00, "mass_density_g_cm3": 5.58}